DFT (GGA-PBE) results for LaAlGa2Tc after structural relaxation.

Geometry as CIF:
```
data_LaAlGa2Tc
_cell_length_a 4.816
_cell_length_b 4.816
_cell_length_c 4.752
_cell_angle_alpha 90.00
_cell_angle_beta 90.00
_cell_angle_gamma 90.00
_space_group_name_H-M_alt 'P 4/m m m'
_space_group_IT_number 123
_space_group_name_Hall '-P 4 2'
loop_
_atom_site_label
_atom_site_fract_x
_atom_site_fract_y
_atom_site_fract_z
La1 0.000 0.000 0.000
Al1 0.500 0.500 0.000
Ga1 0.000 0.500 0.500
Tc1 0.500 0.500 0.500
```

Output
The volume comes out at 110.2 Å³/cell. Its energy of formation from the pure elements is -412 meV/atom. The density of states at the Fermi level comes out at 1.8 states/eV/f.u.



DFT (GGA-PBE) results for LaTmAlGa after structural relaxation.

Geometry as CIF:
```
data_LaTmAlGa
_cell_length_a 7.334
_cell_length_b 7.334
_cell_length_c 7.334
_cell_angle_alpha 90.00
_cell_angle_beta 90.00
_cell_angle_gamma 90.00
_space_group_name_H-M_alt 'F -4 3 m'
_space_group_IT_number 216
_space_group_name_Hall 'F -4 2 3'
loop_
_atom_site_label
_atom_site_fract_x
_atom_site_fract_y
_atom_site_fract_z
La1 0.000 0.000 0.000
Tm1 0.000 0.000 0.500
Al1 0.250 0.250 0.250
Ga1 0.250 0.250 0.750
```

Output
The volume comes out at 394.4 Å³/cell. Its energy of formation from the pure elements is -461 meV/atom. The density of states at the Fermi level comes out at 1.0 states/eV/f.u.



DFT (GGA-PBE) results for LaTmAl2Ga2 after structural relaxation.

Geometry as CIF:
```
data_LaTmAl2Ga2
_cell_length_a 4.5347
_cell_length_b 4.5347
_cell_length_c 7.3147
_cell_angle_alpha 90.00
_cell_angle_beta 90.00
_cell_angle_gamma 120.00
_space_group_name_H-M_alt 'P -3 m 1'
_space_group_IT_number 164
_space_group_name_Hall '-P 3 2"'
loop_
_atom_site_label
_atom_site_fract_x
_atom_site_fract_y
_atom_site_fract_z
La1 0.0000 0.0000 0.0000
Tm1 0.0000 0.0000 0.5000
Al1 0.3333 0.6667 0.7249
Ga1 0.3333 0.6667 0.2808
```

Output
The volume comes out at 130.3 Å³/cell. Its energy of formation from the pure elements is -562 meV/atom. The density of states at the Fermi level comes out at 2.0 states/eV/f.u.